Entry 1:
# Ti2GeTe, optimized geometry, DFT GGA-PBE
# Crystal system ... trigonal
# Formation energy (no corrections) ... -2.3 eV/f.u.
# Raw total energy ... -6.458 eV per atom
# Calculated volume ... 19.62 Å³ per atom
# Polymorph energy (0 for the lowest one) ... 0.0 meV/atom
data_Ti2GeTe
_cell_length_a 3.7509
_cell_length_b 3.7509
_cell_length_c 19.3208
_cell_angle_alpha 90.00
_cell_angle_beta 90.00
_cell_angle_gamma 120.00
_symmetry_space_group_name_H-M 'R 3 m'
_symmetry_Int_Tables_number 160
_symmetry_space_group_name_Hall 'R 3 -2"'
loop_
_atom_site_label
_atom_site_type_symbol
_atom_site_fract_x
_atom_site_fract_y
_atom_site_fract_z
Ti1 Ti 0.0000 0.0000 0.0000
Ti2 Ti 0.0000 0.0000 0.1917
Ge1 Ge 0.0000 0.0000 0.5982
Te1 Te 0.0000 0.0000 0.4290

=====

Entry 2:
# Cs2Rb2Hg2Au, optimized geometry, DFT GGA-PBE
# Formation energy ... -215.5 meV per atom
# Crystal system ... triclinic
# Raw total energy ... -1.290 eV per atom
# Calculated volume ... 55.83 Å³ per atom
data_Cs2Rb2Hg2Au
_cell_length_a 4.895
_cell_length_b 9.074
_cell_length_c 10.171
_cell_angle_alpha 65.22
_cell_angle_beta 76.13
_cell_angle_gamma 74.41
_symmetry_space_group_name_H-M 'P -1'
_symmetry_Int_Tables_number 2
loop_
_symmetry_equiv_pos_as_xyz
'x,y,z'
'-x,-y,-z'
loop_
_atom_site_label
_atom_site_type_symbol
_atom_site_fract_x
_atom_site_fract_y
_atom_site_fract_z
Cs1 Cs 0.049 0.198 0.203
Rb1 Rb 0.288 0.639 0.284
Hg1 Hg 0.407 0.160 0.528
Au1 Au 0.500 0.500 0.000

=====

Entry 3:
# ErBeCo, optimized geometry, DFT GGA-PBE
# Formation energy ... 138.8 meV per atom
# Crystal system ... tetragonal
# Raw total energy ... -4.993 eV per atom
# Calculated volume ... 17.16 Å³ per atom
# Polymorph energy (0 for the lowest one) ... 392.2 meV/atom
data_ErBeCo
_cell_length_a 6.151
_cell_length_b 6.151
_cell_length_c 5.444
_cell_angle_alpha 90.00
_cell_angle_beta 90.00
_cell_angle_gamma 90.00
_symmetry_space_group_name_H-M 'P 41 21 2'
_symmetry_Int_Tables_number 92
loop_
_symmetry_equiv_pos_as_xyz
'x,y,z'
'-y+1/2,x+1/2,z+1/4'
'-x,-y,z+1/2'
'y+1/2,-x+1/2,z+3/4'
'x+1/2,-y+1/2,-z+3/4'
'-y,-x,-z+1/2'
'-x+1/2,y+1/2,-z+1/4'
'y,x,-z'
loop_
_atom_site_label
_atom_site_type_symbol
_atom_site_fract_x
_atom_site_fract_y
_atom_site_fract_z
Er1 Er 0.224 0.224 0.000
Be1 Be 0.091 0.091 0.500
Co1 Co 0.163 0.837 0.750

=====

Entry 4:
# NaAs2PdSe, optimized geometry, DFT GGA-PBE
# Crystal system ... tetragonal
# Formation energy (no corrections) ... 0.6 eV/f.u.
# Raw total energy ... -3.744 eV per atom
# Calculated volume ... 25.35 Å³ per atom
# Polymorph energy (0 for the lowest one) ... 0.0 meV/atom
data_NaAs2PdSe
_cell_length_a 4.830
_cell_length_b 4.830
_cell_length_c 5.433
_cell_angle_alpha 90.00
_cell_angle_beta 90.00
_cell_angle_gamma 90.00
_symmetry_space_group_name_H-M 'P 4/m m m'
_symmetry_Int_Tables_number 123
_symmetry_space_group_name_Hall '-P 4 2'
loop_
_atom_site_label
_atom_site_type_symbol
_atom_site_fract_x
_atom_site_fract_y
_atom_site_fract_z
Na1 Na 0.000 0.000 0.000
As1 As 0.000 0.500 0.500
Pd1 Pd 0.500 0.500 0.500
Se1 Se 0.500 0.500 0.000

=====

Sequential M_tot output: 0.0; 0.0; 0.0; 0.5 μB/f.u.